# Pm2NdSn6, relaxed, DFT PBE-GGA
# E, eV/cell: -85.11
# Formation energy, meV per atom: -474
data_Pm2NdSn6
_symmetry_space_group_name_H-M 'C 1 2/m 1'
_symmetry_Int_Tables_number 12
_cell_length_a 16.993
_cell_length_b 7.279
_cell_length_c 4.516
_cell_angle_alpha 90.00
_cell_angle_beta 105.26
_cell_angle_gamma 90.00
loop_
_symmetry_equiv_pos_as_xyz
'x,y,z'
'-x,-y,-z'
'-x,y,-z'
'x,-y,z'
'x+1/2,y+1/2,z'
'-x+1/2,-y+1/2,-z'
'-x+1/2,y+1/2,-z'
'x+1/2,-y+1/2,z'
loop_
_atom_site_label
_atom_site_type_symbol
_atom_site_fract_x
_atom_site_fract_y
_atom_site_fract_z
_atom_site_occupancy
Pm1 Pm 0.121 0.000 0.121 1
Nd1 Nd 0.000 0.500 0.000 1
Sn1 Sn 0.000 0.203 0.500 1
Sn2 Sn 0.186 0.296 0.686 1